Record 1
VASP calculation (PBE-GGA) on a relaxed structure of Cs4K4Na.

Cell and atoms, written as extended XYZ:
```
9
Lattice="9.434 -1.705 7.256 0.109 -10.020 6.644 -1.783 2.849 -11.544" Properties=species:S:1:pos:R:3 pbc="T T T"
Cs 3.683 -8.586 8.029
Cs 7.513 -5.170 8.280
Cs 0.934 -0.760 -3.911
Cs 5.173 -6.085 3.859
K 0.136 -6.244 4.185
K 5.868 -1.133 4.561
K 2.921 -3.335 0.808
K 8.378 -9.890 6.703
Na 0.000 0.000 0.000
```

Values from the calculation:
total magnetization: 0.00 μB per formula unit
crystal system: tetragonal
calculated total energy: -0.96 eV per atom
DOS at the Fermi energy: 9.495 states/eV per cell
ΔH_f (0 K): 43 kJ/mol of formula units


Record 2
VASP calculation (PBE-GGA) on a relaxed structure of Cu4SnBi.

Cell and atoms, written as extended XYZ:
```
6
Lattice="-0.876 -2.972 4.217 3.931 -2.688 2.169 1.900 1.442 4.658" Properties=species:S:1:pos:R:3 pbc="T T T"
Bi 1.239 -1.054 2.761
Cu 2.147 -3.359 4.572
Cu 1.130 -1.291 5.818
Cu 3.098 -2.637 6.904
Cu 3.536 -1.149 4.792
Sn 0.000 0.000 0.000
```

Values from the calculation:
total magnetization: 0.00 μB per formula unit
crystal system: cubic
calculated total energy: -3.94 eV per atom
DOS at the Fermi energy: 2.503 states/eV per cell
ΔH_f (0 K): 60 kJ/mol of formula units


Question: Look up the total magnetization of the first one.
Answer: 0.00 μB per formula unit


Question: What is the total magnetization in the first record?
Answer: 0.00 μB per formula unit